No. 1
Density functional theory data (PBE) for crystalline SbPb2Cl at its relaxed geometry. Values from VASP.

Computed properties:
- formation energy without anion corrections (kJ per mole of atoms) = -9
- total magnetization (μB/cell) = 0.00
- SG = Pmmm, No. 47
- total DFT energy (no corrections) (eV per atom) = -3.441
- energy above the lowest structure with this stoichiometry (meV per atom) = 330

Quantum ESPRESSO input file:
```
&SYSTEM
  ibrav = 0, nat = 4, ntyp = 3
/
ATOMIC_SPECIES
Cl 35.45 Cl.upf
Pb 207.20 Pb.upf
Sb 121.76 Sb.upf
ATOMIC_POSITIONS crystal
Cl 0.000 0.500 0.500
Pb 0.000 0.000 0.000
Pb 0.500 0.500 0.000
Sb 0.500 0.000 0.500
CELL_PARAMETERS angstrom
3.531 0.000 0.000
0.000 6.189 0.000
0.000 0.000 5.376
```

---

No. 2
Density functional theory data (PBE) for crystalline Tl2CdIn2Br6 at its relaxed geometry. Values from VASP.

Computed properties:
- formation energy without anion corrections (kJ per mole of atoms) = -75
- total magnetization (μB/cell) = 0.00
- SG = C2/m, No. 12
- total DFT energy (no corrections) (eV per atom) = -2.696

Quantum ESPRESSO input file:
```
&SYSTEM
  ibrav = 0, nat = 11, ntyp = 4
/
ATOMIC_SPECIES
Tl 204.38 Tl.upf
Cd 112.41 Cd.upf
In 114.82 In.upf
Br 79.90 Br.upf
ATOMIC_POSITIONS crystal
Tl 0.811 0.189 0.000
Tl 0.189 0.811 0.000
Cd 0.000 0.000 0.500
In 0.352 0.648 0.500
In 0.648 0.352 0.500
Br 0.821 0.821 0.748
Br 0.046 0.364 0.702
Br 0.179 0.179 0.252
Br 0.364 0.046 0.702
Br 0.954 0.636 0.298
Br 0.636 0.954 0.298
CELL_PARAMETERS angstrom
7.631 0.512 0.275
-3.327 6.887 0.275
-1.354 -2.328 7.493
```

---

No. 3
Density functional theory data (PBE) for crystalline Mn2Be2Al at its relaxed geometry. Values from VASP.

Computed properties:
- formation energy from the elements (eV per atom) = -0.189
- total magnetization (μB/cell) = 0.00
- SG = P4/mbm, No. 127
- total DFT energy (no corrections) (eV per atom) = -6.096
- energy above the lowest structure with this stoichiometry (meV per atom) = 0

Quantum ESPRESSO input file:
```
&SYSTEM
  ibrav = 0, nat = 10, ntyp = 3
/
ATOMIC_SPECIES
Be 9.01 Be.upf
Mn 54.94 Mn.upf
Al 26.98 Al.upf
ATOMIC_POSITIONS crystal
Be 0.379 0.879 0.000
Be 0.879 0.621 0.000
Be 0.621 0.121 0.000
Be 0.121 0.379 0.000
Mn 0.173 0.673 0.500
Mn 0.673 0.827 0.500
Mn 0.827 0.327 0.500
Mn 0.327 0.173 0.500
Al 0.000 0.000 0.000
Al 0.500 0.500 0.000
CELL_PARAMETERS angstrom
-0.297 5.823 -0.018
-1.389 -0.088 -5.663
-2.830 -0.142 0.696
```

---

No. 4
Density functional theory data (PBE) for crystalline In2Bi2I at its relaxed geometry. Values from VASP.

Computed properties:
- formation energy without anion corrections (kJ per mole of atoms) = 2
- total magnetization (μB/cell) = 0.00
- SG = P4/mbm, No. 127
- total DFT energy (no corrections) (eV per atom) = -2.936
- energy above the lowest structure with this stoichiometry (meV per atom) = 78

Quantum ESPRESSO input file:
```
&SYSTEM
  ibrav = 0, nat = 10, ntyp = 3
/
ATOMIC_SPECIES
I 126.90 I.upf
Bi 208.98 Bi.upf
In 114.82 In.upf
ATOMIC_POSITIONS crystal
I 0.000 0.000 0.000
I 0.500 0.500 0.000
Bi 0.353 0.853 0.000
Bi 0.853 0.647 0.000
Bi 0.647 0.147 0.000
Bi 0.147 0.353 0.000
In 0.149 0.649 0.500
In 0.649 0.851 0.500
In 0.851 0.351 0.500
In 0.351 0.149 0.500
CELL_PARAMETERS angstrom
9.322 0.000 0.000
0.000 9.322 0.000
0.000 0.000 3.711
```

---

No. 5
Density functional theory data (PBE) for crystalline Y4Tl5In at its relaxed geometry. Values from VASP.

Computed properties:
- formation energy from the elements (eV per atom) = -0.333
- total magnetization (μB/cell) = 0.00
- SG = C2/m, No. 12
- total DFT energy (no corrections) (eV per atom) = -4.375
- energy above the lowest structure with this stoichiometry (meV per atom) = 0

Quantum ESPRESSO input file:
```
&SYSTEM
  ibrav = 0, nat = 10, ntyp = 3
/
ATOMIC_SPECIES
Y 88.91 Y.upf
Tl 204.38 Tl.upf
In 114.82 In.upf
ATOMIC_POSITIONS crystal
Y 0.699 0.278 0.399
Y 0.086 0.839 0.173
Y 0.301 0.722 0.601
Y 0.914 0.161 0.827
Tl 0.296 0.204 0.592
Tl 0.106 0.368 0.212
Tl 0.894 0.632 0.788
Tl 0.500 0.500 0.000
Tl 0.704 0.796 0.408
In 0.500 0.000 0.000
CELL_PARAMETERS angstrom
-1.456 -4.693 -0.395
5.946 -2.010 1.968
-5.668 3.764 6.946
```

---

No. 6
Density functional theory data (PBE) for crystalline Rb2IBr6 at its relaxed geometry. Values from VASP.

Computed properties:
- formation energy without anion corrections (kJ per mole of atoms) = -72
- total magnetization (μB/cell) = 1.00
- SG = C2/m, No. 12
- total DFT energy (no corrections) (eV per atom) = -2.244

Quantum ESPRESSO input file:
```
&SYSTEM
  ibrav = 0, nat = 9, ntyp = 3
/
ATOMIC_SPECIES
Rb 85.47 Rb.upf
I 126.90 I.upf
Br 79.90 Br.upf
ATOMIC_POSITIONS crystal
Rb 0.780 0.730 0.730
Rb 0.220 0.270 0.270
I 0.000 0.000 0.000
Br 0.209 0.296 0.795
Br 0.288 0.756 0.756
Br 0.209 0.795 0.296
Br 0.791 0.704 0.205
Br 0.712 0.244 0.244
Br 0.791 0.205 0.704
CELL_PARAMETERS angstrom
7.297 1.197 0.693
1.644 7.824 0.140
1.644 4.020 6.714
```

---

No. 7
Density functional theory data (PBE) for crystalline TaMn2Cl at its relaxed geometry. Values from VASP.

Computed properties:
- formation energy without anion corrections (kJ per mole of atoms) = 9
- total magnetization (μB/cell) = 5.91
- SG = R-3m, No. 166
- total DFT energy (no corrections) (eV per atom) = -7.920
- energy above the lowest structure with this stoichiometry (meV per atom) = 59

Quantum ESPRESSO input file:
```
&SYSTEM
  ibrav = 0, nat = 4, ntyp = 3
/
ATOMIC_SPECIES
Cl 35.45 Cl.upf
Mn 54.94 Mn.upf
Ta 180.95 Ta.upf
ATOMIC_POSITIONS crystal
Cl 0.750 0.750 0.750
Mn 0.999 0.999 0.999
Mn 0.501 0.501 0.501
Ta 0.250 0.250 0.250
CELL_PARAMETERS angstrom
-2.918 1.934 -7.224
-1.950 -1.020 -7.720
-4.773 -0.484 -6.436
```

---

No. 8
Density functional theory data (PBE) for crystalline Ti2BBr at its relaxed geometry. Values from VASP.

Computed properties:
- formation energy without anion corrections (kJ per mole of atoms) = 2
- total magnetization (μB/cell) = 0.00
- SG = I-42d, No. 122
- total DFT energy (no corrections) (eV per atom) = -6.011
- energy above the lowest structure with this stoichiometry (meV per atom) = 0

Quantum ESPRESSO input file:
```
&SYSTEM
  ibrav = 0, nat = 8, ntyp = 3
/
ATOMIC_SPECIES
B 10.81 B.upf
Br 79.90 Br.upf
Ti 47.87 Ti.upf
ATOMIC_POSITIONS crystal
B 0.500 0.500 0.000
B 0.250 0.750 0.500
Br 0.000 0.000 0.000
Br 0.750 0.250 0.500
Ti 0.546 0.125 0.250
Ti 0.204 0.625 0.250
Ti 0.375 0.454 0.750
Ti 0.875 0.796 0.750
CELL_PARAMETERS angstrom
-4.505 -2.784 1.004
1.473 -0.523 5.159
-4.020 2.819 4.250
```

---

No. 9
Density functional theory data (PBE) for crystalline LiScRh3 at its relaxed geometry. Values from VASP.

Computed properties:
- formation energy from the elements (eV per atom) = 0.666
- total magnetization (μB/cell) = 1.07
- SG = Pm-3m, No. 221
- total DFT energy (no corrections) (eV per atom) = -5.394
- energy above the lowest structure with this stoichiometry (meV per atom) = 683

Quantum ESPRESSO input file:
```
&SYSTEM
  ibrav = 0, nat = 5, ntyp = 3
/
ATOMIC_SPECIES
Sc 44.96 Sc.upf
Rh 102.91 Rh.upf
Li 6.94 Li.upf
ATOMIC_POSITIONS crystal
Sc 0.000 0.000 0.000
Rh 0.000 0.500 0.000
Rh 0.000 0.000 0.500
Rh 0.500 0.000 0.000
Li 0.500 0.500 0.500
CELL_PARAMETERS angstrom
4.693 0.000 0.000
0.000 4.693 0.000
0.000 0.000 4.693
```

---

No. 10
Density functional theory data (PBE) for crystalline Li6DyCd6 at its relaxed geometry. Values from VASP.

Computed properties:
- formation energy from the elements (eV per atom) = -0.198
- total magnetization (μB/cell) = 0.00
- SG = Immm, No. 71
- total DFT energy (no corrections) (eV per atom) = -1.858

Quantum ESPRESSO input file:
```
&SYSTEM
  ibrav = 0, nat = 13, ntyp = 3
/
ATOMIC_SPECIES
Li 6.94 Li.upf
Dy 162.50 Dy.upf
Cd 112.41 Cd.upf
ATOMIC_POSITIONS crystal
Li 0.000 0.500 0.000
Li 0.500 0.500 0.000
Li 0.000 0.000 0.500
Li 0.500 0.000 0.500
Li 0.500 0.776 0.224
Li 0.500 0.224 0.776
Dy 0.000 0.000 0.000
Cd 0.347 0.653 0.653
Cd 0.653 0.347 0.347
Cd 0.000 0.342 0.658
Cd 0.000 0.658 0.342
Cd 0.308 0.192 0.192
Cd 0.692 0.808 0.808
CELL_PARAMETERS angstrom
-3.503 3.858 -0.935
-3.862 1.613 6.140
3.033 6.676 1.201
```

---

No. 11
Density functional theory data (PBE) for crystalline Sm3TlP at its relaxed geometry. Values from VASP.

Computed properties:
- formation energy from the elements (eV per atom) = -0.799
- total magnetization (μB/cell) = 0.00
- SG = Pnma, No. 62
- total DFT energy (no corrections) (eV per atom) = -5.185
- energy above the lowest structure with this stoichiometry (meV per atom) = 0

Quantum ESPRESSO input file:
```
&SYSTEM
  ibrav = 0, nat = 20, ntyp = 3
/
ATOMIC_SPECIES
Sm 150.36 Sm.upf
Tl 204.38 Tl.upf
P 30.97 P.upf
ATOMIC_POSITIONS crystal
Sm 0.250 0.339 0.516
Sm 0.750 0.812 0.207
Sm 0.750 0.526 0.893
Sm 0.750 0.026 0.607
Sm 0.750 0.661 0.484
Sm 0.250 0.974 0.393
Sm 0.250 0.839 0.984
Sm 0.750 0.312 0.293
Sm 0.250 0.688 0.707
Sm 0.250 0.188 0.793
Sm 0.750 0.161 0.016
Sm 0.250 0.474 0.107
Tl 0.750 0.902 0.820
Tl 0.250 0.098 0.180
Tl 0.750 0.402 0.680
Tl 0.250 0.598 0.320
P 0.250 0.333 0.946
P 0.250 0.833 0.554
P 0.750 0.167 0.446
P 0.750 0.667 0.054
CELL_PARAMETERS angstrom
-1.371 -2.601 2.830
8.115 -4.067 0.192
4.647 9.803 11.263
```

---

No. 12
Density functional theory data (PBE) for crystalline CaTl4Cu at its relaxed geometry. Values from VASP.

Computed properties:
- formation energy from the elements (eV per atom) = 0.236
- total magnetization (μB/cell) = 0.00
- SG = F-43m, No. 216
- total DFT energy (no corrections) (eV per atom) = -2.358

Quantum ESPRESSO input file:
```
&SYSTEM
  ibrav = 0, nat = 6, ntyp = 3
/
ATOMIC_SPECIES
Ca 40.08 Ca.upf
Tl 204.38 Tl.upf
Cu 63.55 Cu.upf
ATOMIC_POSITIONS crystal
Ca 0.750 0.750 0.750
Tl 0.876 0.375 0.375
Tl 0.375 0.375 0.876
Tl 0.375 0.876 0.375
Tl 0.375 0.375 0.375
Cu 0.000 0.000 0.000
CELL_PARAMETERS angstrom
0.000 4.488 4.488
4.488 0.000 4.488
4.488 4.488 0.000
```